Record 1
Below is BeCd2Au2 after structural relaxation, with properties calculated at the PBE-GGA level.

abc: 7.134 7.134 3.781
angles: 90.00 90.00 90.00
Space group P4/mbm (No. 127)
Unique sites:
Be (0.000, 0.000, 0.000) x2
Cd (0.157, 0.343, 0.000) x4
Au (0.146, 0.646, 0.500) x4

Computed properties:
The value obtained for the formation energy is 272 meV/atom. The value obtained for the energy above the most stable polymorph in this dataset is 0.2960 eV per atom. Its crystal system is tetragonal. The density of states at the Fermi level is 1.1 states/eV/f.u. As for the calculated total energy: -2.151 eV/atom.

=====

Record 2
Below is TiPdSe2Br after structural relaxation, with properties calculated at the PBE-GGA level.

abc: 4.908 4.908 5.091
angles: 90.00 90.00 90.00
Space group P4/mmm (No. 123)
Unique sites:
Ti (0.000, 0.000, 0.000) x1
Pd (0.500, 0.500, 0.500) x1
Se (0.000, 0.500, 0.000) x2
Br (0.000, 0.000, 0.500) x1

Computed properties:
The value obtained for the energy above the most stable polymorph in this dataset is 0.0000 eV per atom. Its crystal system is tetragonal. The density of states at the Fermi level is 8.1 states/eV/f.u. As for the calculated total energy: -4.460 eV/atom.

=====

Record 3
Below is SrIn2Fe after structural relaxation, with properties calculated at the PBE-GGA level.

abc: 7.967 4.591 6.609
angles: 90.00 113.68 90.00
Space group Cm (No. 8)
Unique sites:
Sr (0.000, 0.000, 0.000) x2
In (0.206, 0.000, 0.619) x2
In (0.453, 0.000, 0.361) x2
Fe (0.317, 0.500, 0.453) x2

Computed properties:
The value obtained for the formation energy is 47 meV/atom. Its crystal system is monoclinic. The density of states at the Fermi level is 5.1 states/eV/f.u. As for the calculated total energy: -3.858 eV/atom.

=====

Record 4
Below is HfBe13 after structural relaxation, with properties calculated at the PBE-GGA level.

abc: 9.953 9.953 9.953
angles: 90.00 90.00 90.00
Space group Fm-3c (No. 226)
Unique sites:
Hf (0.250, 0.250, 0.250) x8
Be (0.000, 0.000, 0.000) x8
Be (0.000, 0.116, 0.178) x96

Computed properties:
The value obtained for the formation energy is -195 meV/atom. Its crystal system is cubic. The density of states at the Fermi level is 1.9 states/eV/f.u. As for the calculated total energy: -4.366 eV/atom.

=====

Record 5
Below is CsK2BaI4 after structural relaxation, with properties calculated at the PBE-GGA level.

abc: 9.199 4.863 9.205
angles: 90.00 106.63 90.00
Space group P2/m (No. 10)
Unique sites:
Cs (0.000, 0.000, 0.000) x1
K (0.500, 0.000, 0.500) x1
K (0.500, 0.500, 0.000) x1
Ba (0.000, 0.500, 0.500) x1
I (0.260, 0.000, 0.743) x2
I (0.260, 0.500, 0.274) x2

Computed properties:
Its crystal system is monoclinic. The density of states at the Fermi level is 3.0 states/eV/f.u. As for the calculated total energy: -2.787 eV/atom.

=====

Record 6
Below is LuThScNb after structural relaxation, with properties calculated at the PBE-GGA level.

abc: 7.357 7.357 7.357
angles: 90.00 90.00 90.00
Space group F-43m (No. 216)
Unique sites:
Lu (0.000, 0.000, 0.000) x4
Th (0.000, 0.000, 0.500) x4
Sc (0.250, 0.250, 0.250) x4
Nb (0.250, 0.250, 0.750) x4

Computed properties:
The value obtained for the formation energy is 173 meV/atom. Its crystal system is cubic. The density of states at the Fermi level is 6.7 states/eV/f.u. As for the calculated total energy: -6.912 eV/atom.

=====

Question: Among the records above, which one has the lowest calculated total energy?
Answer: LuThScNb

=====

Question: Which value of calculated total energy does entry 5 give?
Answer: -2.787 eV/atom

=====

Copy entry 1 word for word.
Below is BeCd2Au2 after structural relaxation, with properties calculated at the PBE-GGA level.

abc: 7.134 7.134 3.781
angles: 90.00 90.00 90.00
Space group P4/mbm (No. 127)
Unique sites:
Be (0.000, 0.000, 0.000) x2
Cd (0.157, 0.343, 0.000) x4
Au (0.146, 0.646, 0.500) x4

Computed properties:
The value obtained for the formation energy is 272 meV/atom. The value obtained for the energy above the most stable polymorph in this dataset is 0.2960 eV per atom. Its crystal system is tetragonal. The density of states at the Fermi level is 1.1 states/eV/f.u. As for the calculated total energy: -2.151 eV/atom.